[1]
First-principles (GGA-PBEsol) data for a relaxed Ta2MnP6O21 crystal, as listed in Alexandria via LeMat-Bulk.

Summary:
Formation energy without anion corrections ... -53.36 kcal/mol of atoms

Lattice parameters (Å, degrees): 6.622 8.010 16.909 90.00 112.92 90.00
Positions (direct):
Ta: 0.202 0.020 0.167
Ta: 0.202 0.480 0.667
Ta: 0.798 0.520 0.333
Ta: 0.798 0.980 0.833
Mn: 0.500 0.000 0.500
Mn: 0.500 0.500 0.000
P: 0.047 0.610 0.831
P: 0.047 0.890 0.331
P: 0.294 0.113 0.985
P: 0.294 0.387 0.485
P: 0.318 0.602 0.161
P: 0.318 0.898 0.661
P: 0.682 0.102 0.339
P: 0.682 0.398 0.839
P: 0.706 0.613 0.515
P: 0.706 0.887 0.015
P: 0.953 0.110 0.669
P: 0.953 0.390 0.169
O: 0.097 0.553 0.173
O: 0.097 0.947 0.673
O: 0.098 0.017 0.919
O: 0.098 0.483 0.419
O: 0.115 0.241 0.193
O: 0.115 0.259 0.693
O: 0.119 0.578 0.756
O: 0.119 0.922 0.256
O: 0.231 0.632 0.915
O: 0.231 0.868 0.415
O: 0.273 0.108 0.073
O: 0.273 0.392 0.573
O: 0.293 0.706 0.648
O: 0.293 0.794 0.148
O: 0.323 0.219 0.454
O: 0.323 0.281 0.954
O: 0.349 0.509 0.092
O: 0.349 0.991 0.592
O: 0.499 0.070 0.249
O: 0.499 0.430 0.749
O: 0.500 0.000 0.000
O: 0.500 0.500 0.500
O: 0.501 0.570 0.251
O: 0.501 0.930 0.751
O: 0.651 0.009 0.408
O: 0.651 0.491 0.908
O: 0.677 0.719 0.046
O: 0.677 0.781 0.546
O: 0.707 0.206 0.852
O: 0.707 0.294 0.352
O: 0.727 0.608 0.427
O: 0.727 0.892 0.927
O: 0.769 0.132 0.585
O: 0.769 0.368 0.085
O: 0.881 0.078 0.744
O: 0.881 0.422 0.244
O: 0.885 0.741 0.307
O: 0.885 0.759 0.807
O: 0.902 0.517 0.581
O: 0.902 0.983 0.081
O: 0.903 0.053 0.327
O: 0.903 0.447 0.827

***

[2]
First-principles (GGA-PBEsol) data for a relaxed TaMnP2O crystal, as listed in Alexandria via LeMat-Bulk.

Summary:
Fermi-level density of states ... 4.65 states/eV per cell
Formation energy without anion corrections ... -2.57 kcal/mol of atoms

Lattice parameters (Å, degrees): 4.566 4.566 3.325 90.00 90.00 90.00
Positions (direct):
Ta: 0.000 0.000 0.000
Mn: 0.500 0.500 0.500
P: 0.000 0.500 0.500
P: 0.500 0.000 0.500
O: 0.500 0.500 0.000

***

[3]
First-principles (GGA-PBEsol) data for a relaxed MnTcP2O crystal, as listed in Alexandria via LeMat-Bulk.

Summary:
Fermi-level density of states ... 5.10 states/eV per cell
Formation energy without anion corrections ... 2.93 kcal/mol of atoms

Lattice parameters (Å, degrees): 4.507 4.507 3.301 90.00 90.00 90.00
Positions (direct):
Mn: 0.000 0.000 0.000
Tc: 0.500 0.500 0.500
P: 0.000 0.500 0.000
P: 0.500 0.000 0.000
O: 0.000 0.000 0.500